Record 1
# PBE-GGA TbScTcHg, relaxed
# E: -22.31 eV per formula unit
# N(E_F): 11.45 states/eV/cell
data_TbScTcHg
_chemical_formula_sum 'Tb4 Sc4 Tc4 Hg4'
_cell_length_a 6.951
_cell_length_b 6.951
_cell_length_c 6.951
_cell_angle_alpha 90.00
_cell_angle_beta 90.00
_cell_angle_gamma 90.00
_space_group_name_H-M_alt 'F -4 3 m'
_space_group_IT_number 216
_space_group_name_Hall 'F -4 2 3'
loop_
_atom_site_label
_atom_site_type_symbol
_atom_site_fract_x
_atom_site_fract_y
_atom_site_fract_z
Tb1 Tb 0.000 0.000 0.000
Sc1 Sc 0.000 0.000 0.500
Tc1 Tc 0.250 0.250 0.750
Hg1 Hg 0.250 0.250 0.250

Record 2
# PBE-GGA HfScSnPd, relaxed
# E: -27.55 eV per formula unit
# N(E_F): 12.52 states/eV/cell
data_HfScSnPd
_chemical_formula_sum 'Hf4 Sc4 Sn4 Pd4'
_cell_length_a 6.870
_cell_length_b 6.870
_cell_length_c 6.870
_cell_angle_alpha 90.00
_cell_angle_beta 90.00
_cell_angle_gamma 90.00
_space_group_name_H-M_alt 'F -4 3 m'
_space_group_IT_number 216
_space_group_name_Hall 'F -4 2 3'
loop_
_atom_site_label
_atom_site_type_symbol
_atom_site_fract_x
_atom_site_fract_y
_atom_site_fract_z
Hf1 Hf 0.000 0.000 0.000
Sc1 Sc 0.000 0.000 0.500
Sn1 Sn 0.250 0.250 0.250
Pd1 Pd 0.250 0.250 0.750